1.
VASP calculation (GGA-PBE) on KNa3Ru after structural relaxation.

Cell lengths 5.674, 5.674, 5.674 Å; angles 90.00, 90.00, 90.00 degrees
Atoms (fractional coordinates):
Na1 0.500 0.000 0.000
Na2 0.000 0.000 0.500
Na3 0.000 0.500 0.000
Ru1 0.000 0.000 0.000
K1 0.500 0.500 0.500

Summary:
crystal system	cubic
E	-10.417	eV/cell
energy relative to the elements	0.783	eV/atom
symmetry	Pm-3m (221)
D(E_F)	1.892	states/eV per atom
energy above the lowest structure with this stoichiometry	0.000	eV per atom
V	36.5	Å³/atom

2.
VASP calculation (GGA-PBE) on TbPr3Mg2 after structural relaxation.

Cell lengths 3.827, 3.827, 12.903 Å; angles 90.00, 90.00, 90.00 degrees
Atoms (fractional coordinates):
Pr1 0.000 0.000 0.310
Pr2 0.000 0.000 0.000
Mg1 0.500 0.500 0.845
Pr3 0.000 0.000 0.690
Mg2 0.500 0.500 0.155
Tb1 0.500 0.500 0.500

Summary:
crystal system	tetragonal
E	-22.507	eV/cell
energy relative to the elements	-0.058	eV/atom
symmetry	P4/mmm (123)
D(E_F)	1.066	states/eV per atom
V	31.5	Å³/atom

3.
VASP calculation (GGA-PBE) on CaCrFeC2 after structural relaxation.

Cell lengths 4.321, 4.931, 4.321 Å; angles 90.00, 90.00, 90.00 degrees
Atoms (fractional coordinates):
C1 0.000 0.000 0.500
C2 0.500 0.000 0.000
Ca1 0.000 0.000 0.000
Cr1 0.000 0.500 0.000
Fe1 0.500 0.500 0.500

Summary:
crystal system	tetragonal
E	-21.894	eV/cell
energy relative to the elements	3.328	eV/atom
symmetry	P4/mmm (123)
D(E_F)	1.380	states/eV per atom
energy above the lowest structure with this stoichiometry	3.378	eV per atom
V	18.4	Å³/atom

4.
VASP calculation (GGA-PBE) on KCo2Si after structural relaxation.

Cell lengths 8.641, 8.641, 8.641 Å; angles 19.80, 19.80, 19.80 degrees
Atoms (fractional coordinates):
K1 0.250 0.250 0.250
Co1 0.025 0.025 0.025
Co2 0.475 0.475 0.475
Si1 0.750 0.750 0.750

Summary:
crystal system	trigonal
E	-18.705	eV/cell
symmetry	R-3m (166)
D(E_F)	0.599	states/eV per atom
V	16.2	Å³/atom
raw formation energy	49	kJ per mole of atoms